This record from Alexandria describes Na4Ni3SnO8 after structural relaxation. The functional is GGA+U.

a = 10.7382 Å, b = 6.0888 Å, c = 6.4421 Å
α = 90.00°, β = 123.13°, γ = 90.00°
Space group C2/m (No. 12)
Unique sites:
Na  0.0000  0.0000  0.0000 (multiplicity 2)
Na  0.0000  0.5000  0.0000 (multiplicity 2)
Na  0.2500  0.2500  0.0000 (multiplicity 4)
Ni  0.0000  0.0000  0.5000 (multiplicity 2)
Ni  0.2500  0.2500  0.5000 (multiplicity 4)
Sn  0.0000  0.5000  0.5000 (multiplicity 2)
O  0.0110  0.2490  0.2901 (multiplicity 8)
O  0.2326  0.0000  0.6848 (multiplicity 4)
O  0.2357  0.5000  0.7040 (multiplicity 4)

The total energy comes out at -4.863 eV per atom.